# PBE K3Yb, relaxed
# Crystal system: cubic
# Final energy, eV per atom: -1.05
# Calculated formation energy, meV/atom: 152
data_K3Yb
_chemical_formula_sum 'K12 Yb4'
_cell_length_a 10.056
_cell_length_b 10.056
_cell_length_c 10.056
_cell_angle_alpha 90.00
_cell_angle_beta 90.00
_cell_angle_gamma 90.00
_symmetry_space_group_name_H-M 'F m -3 m'
_symmetry_Int_Tables_number 225
_symmetry_space_group_name_Hall '-F 4 2 3'
loop_
_atom_site_label
_atom_site_type_symbol
_atom_site_fract_x
_atom_site_fract_y
_atom_site_fract_z
_atom_site_occupancy
K1 K 0.000 0.000 0.000 1
K2 K 0.250 0.250 0.250 1
Yb1 Yb 0.000 0.000 0.500 1

***

# PBE KZn, relaxed
# Crystal system: hexagonal
# Final energy, eV per atom: -1.05
# Calculated formation energy, meV/atom: 132
data_KZn
_chemical_formula_sum 'K3 Zn3'
_cell_length_a 8.2872
_cell_length_b 8.2872
_cell_length_c 3.7565
_cell_angle_alpha 90.00
_cell_angle_beta 90.00
_cell_angle_gamma 120.00
_symmetry_space_group_name_H-M 'P -6 2 m'
_symmetry_Int_Tables_number 189
_symmetry_space_group_name_Hall 'P -6 -2'
loop_
_atom_site_label
_atom_site_type_symbol
_atom_site_fract_x
_atom_site_fract_y
_atom_site_fract_z
_atom_site_occupancy
K1 K 0.0000 0.5716 0.0000 1
Zn1 Zn 0.0000 0.1827 0.5000 1

***

# PBE K12Zn, relaxed
# Crystal system: cubic
# Final energy, eV per atom: -1.05
# Calculated formation energy, meV/atom: 63
data_K12Zn
_chemical_formula_sum 'K24 Zn2'
_cell_length_a 11.998
_cell_length_b 11.998
_cell_length_c 11.998
_cell_angle_alpha 90.00
_cell_angle_beta 90.00
_cell_angle_gamma 90.00
_symmetry_space_group_name_H-M 'I m -3'
_symmetry_Int_Tables_number 204
_symmetry_space_group_name_Hall '-I 2 2 3'
loop_
_atom_site_label
_atom_site_type_symbol
_atom_site_fract_x
_atom_site_fract_y
_atom_site_fract_z
_atom_site_occupancy
K1 K 0.000 0.175 0.305 1
Zn1 Zn 0.000 0.000 0.000 1

***

# PBE KZn2, relaxed
# Crystal system: tetragonal
# Final energy, eV per atom: -1.15
# Calculated formation energy, meV/atom: 65
data_KZn2
_chemical_formula_sum 'K4 Zn8'
_cell_length_a 5.089
_cell_length_b 5.089
_cell_length_c 12.144
_cell_angle_alpha 90.00
_cell_angle_beta 90.00
_cell_angle_gamma 90.00
_symmetry_space_group_name_H-M 'I 4/m c m'
_symmetry_Int_Tables_number 140
_symmetry_space_group_name_Hall '-I 4 2c'
loop_
_atom_site_label
_atom_site_type_symbol
_atom_site_fract_x
_atom_site_fract_y
_atom_site_fract_z
_atom_site_occupancy
K1 K 0.000 0.000 0.250 1
Zn1 Zn 0.177 0.323 0.000 1